Model A:
Computed, not measured: Al2Ag3 after structural relaxation at the PBEsol level of DFT.

a b c (Å): 7.371 7.371 5.966
angles (deg): 100.68 100.68 30.52
Atoms (fractional coordinates):
Al (0.000, 0.000, 0.000)
Al (0.000, 0.000, 0.496)
Al (0.207, 0.207, 0.114)
Al (0.605, 0.605, 0.799)
Ag (0.196, 0.196, 0.607)
Ag (0.404, 0.404, 0.203)
Ag (0.412, 0.412, 0.708)
Ag (0.602, 0.602, 0.282)
Ag (0.800, 0.800, 0.905)
Ag (0.803, 0.803, 0.407)

Crystal system ... monoclinic
V ... 16.15 Å³ per atom
Total magnetization ... 0.000 μB/f.u.


Model B:
Computed, not measured: Al2Ag3 after structural relaxation at the PBEsol level of DFT.

a b c (Å): 7.056 5.494 8.204
angles (deg): 58.05 41.35 80.60
Atoms (fractional coordinates):
Al (0.018, 0.482, 0.081)
Al (0.169, 0.831, 0.232)
Al (0.482, 0.018, 0.419)
Al (0.831, 0.169, 0.768)
Ag (0.039, 0.039, 0.961)
Ag (0.289, 0.289, 0.211)
Ag (0.484, 0.581, 0.310)
Ag (0.581, 0.484, 0.626)
Ag (0.624, 0.940, 0.669)
Ag (0.940, 0.624, 0.766)

Crystal system ... orthorhombic
V ... 16.20 Å³ per atom
Total magnetization ... 0.000 μB/f.u.


Model C:
Computed, not measured: Al2Ag3 after structural relaxation at the PBEsol level of DFT.

a b c (Å): 4.340 4.340 5.351
angles (deg): 90.00 90.00 120.00
Atoms (fractional coordinates):
Al (0.333, 0.667, 0.342)
Al (0.667, 0.333, 0.658)
Ag (0.000, 0.000, 0.500)
Ag (0.333, 0.667, 0.853)
Ag (0.667, 0.333, 0.147)

Crystal system ... trigonal
V ... 17.46 Å³ per atom
Total magnetization ... 0.000 μB/f.u.


Most stable of them? model A.